Computed, not measured: an optimized crystal structure of RbMoW2 at the PBE level of DFT.

POSCAR file:
```
RbMoW2
1.0
-4.267 -1.235 2.751
2.932 -0.585 4.285
-1.830 7.407 5.448
Mo Rb W
2 2 4
Direct
0.000 0.000 0.000
0.750 0.250 0.500
0.500 0.500 0.000
0.250 0.750 0.500
0.875 0.125 0.250
0.875 0.625 0.250
0.375 0.125 0.750
0.875 0.125 0.750
```

Summary:
total moment: 0.0000 μB/atom
energy of formation: 2.18 eV/atom
ΔE to the lowest computed polymorph: 151.8 meV per atom
DOS(E_F): 11.9 states/eV per cell
symmetry: I4_1/amd, No. 141